P | Ag2PdAu2, relaxed, DFT PBE; size of the total moment = 0.00 μB per formula unit; density of states at the Fermi level = 0.336 states/eV/atom; space-group type = P4/mbm, No. 127
1.0
7.871 0.000 0.000
0.000 7.871 0.000
0.000 0.000 2.992
Ag Pd Au
4 2 4
direct
0.128 0.372 0.000
0.372 0.872 0.000
0.628 0.128 0.000
0.872 0.628 0.000
0.000 0.000 0.000
0.500 0.500 0.000
0.170 0.670 0.500
0.330 0.170 0.500
0.670 0.830 0.500
0.830 0.330 0.500

---

Q | Ag2PdAu2, relaxed, DFT PBE; size of the total moment = 0.00 μB per formula unit; density of states at the Fermi level = 0.549 states/eV/atom; space-group type = I4/mmm, No. 139
1.0
5.197 0.000 0.000
0.000 5.197 0.000
0.000 0.000 7.995
Ag Pd Au
4 2 4
direct
0.000 0.500 0.250
0.000 0.500 0.750
0.500 0.000 0.250
0.500 0.000 0.750
0.000 0.000 0.000
0.500 0.500 0.500
0.000 0.000 0.337
0.000 0.000 0.663
0.500 0.500 0.163
0.500 0.500 0.837

---

Q: Which of them is the least stable? A: Q.

---

P | Ag2PdAu2, relaxed, DFT PBE; size of the total moment = 0.00 μB per formula unit; density of states at the Fermi level = 0.172 states/eV/atom; space-group type = P4/mbm, No. 127
1.0
7.065 0.000 0.000
0.000 7.065 0.000
0.000 0.000 3.801
Ag Pd Au
4 2 4
direct
0.165 0.335 0.000
0.335 0.835 0.000
0.665 0.165 0.000
0.835 0.665 0.000
0.000 0.000 0.500
0.500 0.500 0.500
0.138 0.638 0.500
0.362 0.138 0.500
0.638 0.862 0.500
0.862 0.362 0.500

---

Q | Ag2PdAu2, relaxed, DFT PBE; size of the total moment = 0.00 μB per formula unit; density of states at the Fermi level = 0.298 states/eV/atom; space-group type = P-1, No. 2
1.0
5.016 0.000 0.000
-0.024 5.601 0.000
-2.483 -1.850 6.196
Ag Pd Au
4 2 4
direct
0.086 0.253 0.001
0.284 0.651 0.401
0.716 0.349 0.599
0.914 0.747 0.999
0.318 0.553 0.803
0.682 0.447 0.197
0.115 0.160 0.403
0.483 0.056 0.803
0.517 0.944 0.197
0.885 0.840 0.597

---

R | Ag2PdAu2, relaxed, DFT PBE; size of the total moment = 0.00 μB per formula unit; density of states at the Fermi level = 0.310 states/eV/atom; space-group type = I4/mmm, No. 139
1.0
3.771 0.000 0.000
0.000 3.771 0.000
0.000 0.000 14.041
Ag Pd Au
4 2 4
direct
0.000 0.000 0.095
0.000 0.000 0.905
0.500 0.500 0.405
0.500 0.500 0.595
0.000 0.000 0.500
0.500 0.500 0.000
0.000 0.500 0.250
0.000 0.500 0.750
0.500 0.000 0.250
0.500 0.000 0.750

---

Q: Which of them is the least stable? A: R.

---

P | Ag2Pd5Au3, relaxed, DFT PBE; size of the total moment = 0.00 μB per formula unit; density of states at the Fermi level = 0.938 states/eV/atom; space-group type = Ibam, No. 72
1.0
-3.462 9.466 2.714
3.462 -9.466 2.714
3.462 9.466 -2.714
Ag Pd Au
4 10 6
direct
0.229 0.177 0.406
0.271 0.677 0.948
0.729 0.323 0.052
0.771 0.823 0.594
0.085 0.240 0.325
0.091 0.750 0.341
0.250 0.750 0.500
0.409 0.750 0.659
0.415 0.740 0.156
0.585 0.260 0.844
0.591 0.250 0.341
0.750 0.250 0.500
0.909 0.250 0.659
0.915 0.760 0.675
0.128 0.847 0.975
0.250 0.250 0.000
0.372 0.347 0.718
0.628 0.653 0.282
0.750 0.750 0.000
0.872 0.153 0.025

---

Q | Ag2Pd5Au3, relaxed, DFT PBE; size of the total moment = 0.00 μB per formula unit; density of states at the Fermi level = 1.002 states/eV/atom; space-group type = Ibam, No. 72
1.0
-5.273 6.733 2.636
5.273 -6.733 2.636
5.273 6.733 -2.636
Ag Pd Au
4 10 6
direct
0.241 0.116 0.357
0.259 0.616 0.876
0.741 0.384 0.124
0.759 0.884 0.643
0.149 0.862 0.011
0.250 0.505 0.255
0.250 0.750 0.500
0.250 0.995 0.745
0.351 0.362 0.713
0.649 0.638 0.287
0.750 0.005 0.255
0.750 0.250 0.500
0.750 0.495 0.745
0.851 0.138 0.989
0.155 0.373 0.527
0.250 0.250 0.000
0.345 0.873 0.218
0.655 0.127 0.782
0.750 0.750 0.000
0.845 0.627 0.473

---

Q: Which of them is the least stable? A: Q.

---

P | Ag3Pd4Au2, relaxed, DFT PBE; size of the total moment = 0.00 μB per formula unit; density of states at the Fermi level = 0.482 states/eV/atom; space-group type = C2/m, No. 12
1.0
6.124 -2.043 0.000
6.124 2.043 0.000
-2.041 0.000 6.019
Ag Pd Au
3 4 2
direct
0.000 0.000 0.000
0.111 0.111 0.661
0.889 0.889 0.339
0.223 0.223 0.336
0.443 0.443 0.665
0.557 0.557 0.335
0.777 0.777 0.664
0.334 0.334 0.999
0.666 0.666 0.001

---

Q | Ag3Pd4Au2, relaxed, DFT PBE; size of the total moment = 0.00 μB per formula unit; density of states at the Fermi level = 0.379 states/eV/atom; space-group type = P-1, No. 2
1.0
4.115 0.000 0.000
2.049 4.474 0.000
0.002 2.470 8.167
Ag Pd Au
3 4 2
direct
0.000 0.000 0.000
0.334 0.331 0.443
0.666 0.669 0.557
0.000 0.001 0.333
0.000 0.999 0.667
0.334 0.332 0.112
0.666 0.668 0.888
0.333 0.333 0.779
0.667 0.667 0.221

---

Q: Which of them is the least stable? A: P.

---

P | AgPd4Au2, relaxed, DFT PBE; size of the total moment = 0.00 μB per formula unit; density of states at the Fermi level = 1.081 states/eV/atom; space-group type = Pmmm, No. 47
1.0
2.819 0.000 0.000
0.000 5.592 0.000
0.000 0.000 7.956
Ag Pd Au
1 4 2
direct
0.000 0.000 0.000
0.500 0.259 0.261
0.500 0.259 0.739
0.500 0.741 0.261
0.500 0.741 0.739
0.000 0.000 0.500
0.000 0.500 0.000

---

Q | AgPd4Au2, relaxed, DFT PBE; size of the total moment = 0.00 μB per formula unit; density of states at the Fermi level = 1.043 states/eV/atom; space-group type = I4/mmm, No. 139
1.0
4.892 0.000 0.000
0.000 4.892 0.000
0.000 0.000 13.206
Ag Pd Au
2 8 4
direct
0.000 0.000 0.000
0.500 0.500 0.500
0.000 0.000 0.197
0.000 0.000 0.803
0.000 0.500 0.000
0.000 0.500 0.500
0.500 0.000 0.000
0.500 0.000 0.500
0.500 0.500 0.303
0.500 0.500 0.697
0.000 0.000 0.394
0.000 0.000 0.606
0.500 0.500 0.106
0.500 0.500 0.894

---

Q: Which of them is the least stable? A: Q.

---

P | Ag2Pd2Au7, relaxed, DFT PBE; size of the total moment = 0.00 μB per formula unit; density of states at the Fermi level = 0.403 states/eV/atom; space-group type = C2/m, No. 12
1.0
6.267 -4.215 0.000
6.267 4.215 0.000
-1.295 0.000 3.836
Ag Pd Au
2 2 7
direct
0.174 0.174 0.173
0.826 0.826 0.827
0.239 0.761 0.000
0.761 0.239 0.000
0.000 0.000 0.500
0.090 0.583 0.337
0.359 0.359 0.859
0.417 0.910 0.663
0.583 0.090 0.337
0.641 0.641 0.141
0.910 0.417 0.663

---

Q | Ag2Pd2Au7, relaxed, DFT PBE; size of the total moment = 0.00 μB per formula unit; density of states at the Fermi level = 0.255 states/eV/atom; space-group type = C2/m, No. 12
1.0
4.988 -4.184 0.000
4.988 4.184 0.000
-1.255 0.000 4.969
Ag Pd Au
2 2 7
direct
0.179 0.821 0.000
0.821 0.179 0.000
0.242 0.242 0.265
0.758 0.758 0.735
0.000 0.000 0.500
0.064 0.407 0.751
0.407 0.064 0.751
0.480 0.480 0.739
0.520 0.520 0.261
0.593 0.936 0.249
0.936 0.593 0.249

---

Q: Which of them is the least stable? A: Q.

---

P | Ag2Pd8Au3, relaxed, DFT PBE; size of the total moment = 0.00 μB per formula unit; density of states at the Fermi level = 1.001 states/eV/atom; space-group type = R-3m, No. 166
1.0
2.579 1.489 10.087
-2.579 1.489 10.087
0.000 -2.978 10.087
Ag Pd Au
2 8 3
direct
0.142 0.142 0.142
0.858 0.858 0.858
0.229 0.229 0.229
0.231 0.231 0.730
0.231 0.730 0.231
0.270 0.769 0.769
0.730 0.231 0.231
0.769 0.270 0.769
0.769 0.769 0.270
0.771 0.771 0.771
0.319 0.319 0.319
0.500 0.500 0.500
0.681 0.681 0.681

---

Q | Ag2Pd8Au3, relaxed, DFT PBE; size of the total moment = 0.00 μB per formula unit; density of states at the Fermi level = 1.106 states/eV/atom; space-group type = P2/m, No. 10
1.0
9.210 0.000 0.000
0.000 2.775 0.000
-4.385 0.000 8.520
Ag Pd Au
2 8 3
direct
0.040 0.000 0.377
0.960 0.000 0.623
0.128 0.000 0.143
0.181 0.500 0.903
0.278 0.000 0.689
0.334 0.500 0.461
0.666 0.500 0.539
0.722 0.000 0.311
0.819 0.500 0.097
0.872 0.000 0.857
0.422 0.500 0.225
0.500 0.000 0.000
0.578 0.500 0.775

---

Q: Which of them is the least stable? A: P.

---

P | Ag2Pd5Au2, relaxed, DFT PBE; size of the total moment = 0.00 μB per formula unit; density of states at the Fermi level = 1.103 states/eV/atom; space-group type = P-1, No. 2
1.0
4.948 0.000 0.000
0.858 4.875 0.000
1.654 0.504 6.143
Ag Pd Au
2 5 2
direct
0.169 0.332 0.332
0.831 0.668 0.668
0.281 0.553 0.888
0.392 0.776 0.443
0.500 0.000 0.000
0.608 0.224 0.557
0.719 0.447 0.112
0.059 0.111 0.778
0.941 0.889 0.222

---

Q | Ag2Pd5Au2, relaxed, DFT PBE; size of the total moment = 0.00 μB per formula unit; density of states at the Fermi level = 1.141 states/eV/atom; space-group type = Amm2, No. 38
1.0
8.229 0.000 0.000
0.000 2.308 3.982
0.000 -2.308 3.982
Ag Pd Au
2 5 2
direct
0.171 0.000 0.000
0.829 0.000 0.000
0.164 0.334 0.334
0.336 0.667 0.667
0.500 0.000 0.000
0.664 0.667 0.667
0.836 0.334 0.334
0.000 0.667 0.667
0.500 0.334 0.334

---

Q: Which of them is the least stable? A: Q.

---

P | AgPd8Au2, relaxed, DFT PBE; size of the total moment = 0.00 μB per formula unit; density of states at the Fermi level = 1.411 states/eV/atom; space-group type = Cmmm, No. 65
1.0
4.087 -5.491 0.000
4.087 5.491 0.000
0.000 0.000 4.216
Ag Pd Au
1 8 2
direct
0.000 0.000 0.000
0.037 0.302 0.500
0.239 0.761 0.000
0.302 0.037 0.500
0.330 0.330 0.000
0.670 0.670 0.000
0.698 0.963 0.500
0.761 0.239 0.000
0.963 0.698 0.500
0.377 0.623 0.500
0.623 0.377 0.500

---

Q | AgPd8Au2, relaxed, DFT PBE; size of the total moment = 0.00 μB per formula unit; density of states at the Fermi level = 1.650 states/eV/atom; space-group type = C2/m, No. 12
1.0
3.652 -7.081 0.000
3.652 7.081 0.000
-3.178 0.000 3.653
Ag Pd Au
1 8 2
direct
0.000 0.000 0.000
0.100 0.378 0.728
0.193 0.807 0.000
0.378 0.100 0.728
0.458 0.458 0.211
0.542 0.542 0.789
0.622 0.900 0.272
0.807 0.193 0.000
0.900 0.622 0.272
0.318 0.682 0.500
0.682 0.318 0.500

---

Q: Which of them is the least stable? A: P.